Compound: SrNp2CrO8
Source: Alexandria via LeMat-Bulk
Functional: GGA+U
Structure: optimized geometry

The total moment comes out at 6.0 μB/cell. For the density, the calculation gives 7.22 g/cm³. Its crystal system is monoclinic. As for the total energy: -8.88 eV per atom.

It has space group P2/m (No. 10), with a = 4.9497 Å, b = 6.9653 Å, c = 4.9554 Å, α = 90.00°, β = 92.93° and γ = 90.00°. Symmetry generates all atoms from Sr at (0.0000, 0.0000, 0.0000), Np at (0.5000, 0.2599, 0.5000), Cr at (0.0000, 0.5000, 0.0000), O at (0.2060, 0.2877, 0.2072), O at (0.3001, 0.5000, 0.7007) and O at (0.3317, 0.0000, 0.6700).